No. 1
First-principles (GGA-PBE) data for a relaxed NaMgCdGa crystal, as listed in the Alexandria database.

The value obtained for the excess energy over the best structure of this formula in the dataset is 5.5 kJ/mol of atoms. The calculation puts the total energy at -1.76 eV/atom. The calculation puts the formation energy at -4 kJ per mole of atoms. The total magnetization comes out at 0.00 Bohr magnetons per cell.

Cell: 4.993 4.993 4.993 Å, 60.00 60.00 60.00°
Element x y z (fractional)
1 Ga 0.250 0.250 0.250
2 Na 0.000 0.000 0.000
3 Mg 0.500 0.500 0.500
4 Cd 0.750 0.750 0.750

No. 2
First-principles (GGA-PBE) data for a relaxed NaMgCdGa crystal, as listed in the Alexandria database.

The value obtained for the excess energy over the best structure of this formula in the dataset is 0.0 kJ/mol of atoms. The calculation puts the total energy at -1.82 eV/atom. The calculation puts the formation energy at -10 kJ per mole of atoms. The total magnetization comes out at 0.00 Bohr magnetons per cell.

Cell: 3.181 3.181 8.815 Å, 90.00 90.00 90.00°
Element x y z (fractional)
1 Ga 0.000 0.000 0.550
2 Na 0.500 0.500 0.807
3 Mg 0.500 0.500 0.338
4 Cd 0.000 0.000 0.089

No. 3
First-principles (GGA-PBE) data for a relaxed MgCd2GaNi crystal, as listed in the Alexandria database.

The calculation puts the total energy at -2.05 eV/atom. The calculation puts the formation energy at 39 kJ per mole of atoms. The total magnetization comes out at 0.00 Bohr magnetons per cell.

Cell: 5.034 4.536 5.034 Å, 90.00 90.00 90.00°
Element x y z (fractional)
1 Cd 0.000 0.000 0.500
2 Mg 0.500 0.500 0.500
3 Ga 0.000 0.000 0.000
4 Cd 0.500 0.000 0.000
5 Ni 0.000 0.500 0.000

No. 4
First-principles (GGA-PBE) data for a relaxed Mg2CdGaNi crystal, as listed in the Alexandria database.

The calculation puts the total energy at -2.62 eV/atom. The calculation puts the formation energy at -4 kJ per mole of atoms. The total magnetization comes out at 0.00 Bohr magnetons per cell.

Cell: 4.872 4.872 4.528 Å, 90.00 90.00 90.00°
Element x y z (fractional)
1 Ga 0.000 0.000 0.500
2 Cd 0.500 0.500 0.500
3 Mg 0.500 0.000 0.000
4 Ni 0.000 0.000 0.000
5 Mg 0.000 0.500 0.000

No. 5
First-principles (GGA-PBE) data for a relaxed MgCdGa2Pd2 crystal, as listed in the Alexandria database.

The calculation puts the total energy at -3.61 eV/atom. The calculation puts the formation energy at -43 kJ per mole of atoms. The total magnetization comes out at 0.00 Bohr magnetons per cell.

Cell: 4.467 4.467 5.872 Å, 90.00 90.00 120.00°
Element x y z (fractional)
1 Ga 0.667 0.333 0.266
2 Cd 0.000 0.000 0.000
3 Pd 0.667 0.333 0.746
4 Ga 0.333 0.667 0.734
5 Pd 0.333 0.667 0.254
6 Mg 0.000 0.000 0.500

No. 6
First-principles (GGA-PBE) data for a relaxed MgCdGaPd crystal, as listed in the Alexandria database.

The calculation puts the total energy at -2.99 eV/atom. The calculation puts the formation energy at -30 kJ per mole of atoms. The total magnetization comes out at 0.00 Bohr magnetons per cell.

Cell: 4.618 4.618 4.618 Å, 60.00 60.00 60.00°
Element x y z (fractional)
1 Cd 0.750 0.750 0.750
2 Pd 0.250 0.250 0.250
3 Mg 0.500 0.500 0.500
4 Ga 0.000 0.000 0.000

No. 7
First-principles (GGA-PBE) data for a relaxed Mg2CdGaPd crystal, as listed in the Alexandria database.

The calculation puts the total energy at -2.74 eV/atom. The calculation puts the formation energy at -27 kJ per mole of atoms. The total magnetization comes out at 0.00 Bohr magnetons per cell.

Cell: 3.147 4.664 7.197 Å, 108.90 102.63 90.00°
Element x y z (fractional)
1 Ga 0.699 0.699 0.398
2 Cd 0.489 0.489 0.977
3 Mg 0.271 0.271 0.542
4 Pd 0.605 0.105 0.210
5 Mg 0.919 0.919 0.839

No. 8
First-principles (GGA-PBE) data for a relaxed PmMg2Cd2Ga crystal, as listed in the Alexandria database.

The calculation puts the total energy at -1.95 eV/atom. The calculation puts the formation energy at 18 kJ per mole of atoms. The total magnetization comes out at 0.00 Bohr magnetons per cell.

Cell: 5.357 5.357 6.914 Å, 112.79 112.79 90.00°
Element x y z (fractional)
1 Mg 0.750 0.250 0.500
2 Ga 0.000 0.000 0.000
3 Mg 0.250 0.750 0.500
4 Pm 0.500 0.500 0.000
5 Cd 0.780 0.780 0.561
6 Cd 0.220 0.220 0.439